An optimized crystal structure of YMgRhPb, computed with PBE-GGA.

Summary:
ΔE_f, kJ/mol of formula units: -143.8
Volume, Å³/cell: 347.4
D(E_F), states/eV/atom: 0.445

a = 7.030 Å, b = 7.030 Å, c = 7.030 Å
α = 90.00°, β = 90.00°, γ = 90.00°
Space group F-43m (No. 216)
Asymmetric unit:
Y (0.000, 0.000, 0.000) (multiplicity 4)
Mg (0.000, 0.000, 0.500) (multiplicity 4)
Rh (0.250, 0.250, 0.250) (multiplicity 4)
Pb (0.250, 0.250, 0.750) (multiplicity 4)

***

An optimized crystal structure of NdMgTlGa, computed with PBE-GGA.

Summary:
ΔE_f, kJ/mol of formula units: -136.9
Energy above the lowest structure with this stoichiometry, eV per formula unit: 0.00
Volume, Å³/cell: 98.0
D(E_F), states/eV/atom: 0.517

a = 4.448 Å, b = 4.590 Å, c = 4.802 Å
α = 90.00°, β = 90.00°, γ = 90.00°
Space group Pmmm (No. 47)
Asymmetric unit:
Nd (0.000, 0.000, 0.000) (multiplicity 1)
Mg (0.000, 0.500, 0.500) (multiplicity 1)
Tl (0.500, 0.000, 0.500) (multiplicity 1)
Ga (0.500, 0.500, 0.000) (multiplicity 1)